No. 1
Entry from the Alexandria database: an optimized crystal structure of Mg2WBr (PBE-GGA).

Output
uncorrected energy: -15.8 eV/cell
uncorrected formation energy: 502 meV per atom
total magnetization: 0.00 μB per formula unit
E above lowest polymorph: 380 meV per atom

a = 3.0674 Å, b = 3.0674 Å, c = 10.9164 Å
α = 90.00°, β = 90.00°, γ = 118.77°
With the nearest neighbours (Å) after each atom.
Fractional positions:
W 0.0000 0.0000 0.5003  2 Br 2.60, 2 Mg 2.86
Mg 0.0000 0.0000 0.0278  8 Mg 3.07-3.18
Mg 0.5000 0.5000 0.2813  2 W 2.86, 8 Mg 3.07-3.18
Br 0.5000 0.5000 0.6907  2 W 2.60

=====

No. 2
Entry from the Alexandria database: an optimized crystal structure of Mg2WBr (PBE-GGA).

Output
uncorrected energy: -15.1 eV/cell
uncorrected formation energy: 684 meV per atom
total magnetization: 0.46 μB per formula unit
E above lowest polymorph: 562 meV per atom

a = 5.6519 Å, b = 5.6519 Å, c = 5.1107 Å
α = 63.26°, β = 63.26°, γ = 31.90°
With the nearest neighbours (Å) after each atom.
Fractional positions:
W 0.7500 0.7500 0.7500  4 Mg 2.92, 4 Br 2.99, 2 W 3.11
Br 0.2500 0.2500 0.2500  4 Mg 2.80, 4 W 2.99, 2 Br 3.11
Mg 0.5075 0.5075 0.4929  2 Br 2.80, 2 W 2.92, 6 Mg 2.99-3.11
Mg 0.9925 0.9925 0.0071  2 Br 2.80, 2 W 2.92, 6 Mg 2.99-3.11

=====

No. 3
Entry from the Alexandria database: an optimized crystal structure of Mg2WBr (PBE-GGA).

Output
uncorrected energy: -17.1 eV/cell
uncorrected formation energy: 178 meV per atom
total magnetization: 0.00 μB per formula unit
E above lowest polymorph: 56 meV per atom

a = 3.0604 Å, b = 3.0604 Å, c = 8.4498 Å
α = 90.00°, β = 90.00°, γ = 90.00°
With the nearest neighbours (Å) after each atom.
Fractional positions:
Mg 0.0000 0.0000 0.4881  4 W 2.95, 4 Mg 3.06, 4 Br 3.10
Mg 0.0000 0.0000 0.0119  4 W 2.95, 4 Mg 3.06, 4 Br 3.10
Br 0.5000 0.5000 0.7500  4 Br 3.06, 8 Mg 3.10
W 0.5000 0.5000 0.2500  8 Mg 2.95, 4 W 3.06

=====

No. 4
Entry from the Alexandria database: an optimized crystal structure of Mg2WBr (PBE-GGA).

Output
uncorrected energy: -16.2 eV/cell
uncorrected formation energy: 398 meV per atom
total magnetization: 0.00 μB per formula unit
E above lowest polymorph: 276 meV per atom

a = 5.6335 Å, b = 5.6335 Å, c = 5.2391 Å
α = 74.10°, β = 74.10°, γ = 31.09°
With the nearest neighbours (Å) after each atom.
Fractional positions:
W 0.5256 0.5256 0.5516  2 Br 2.62, 4 Mg 2.91
Br 0.2006 0.2006 0.2358  2 W 2.62, 1 Mg 2.78
Mg 0.9872 0.9872 0.0421  1 Br 2.78, 2 W 2.91, 2 Mg 3.02
Mg 0.7866 0.7866 0.6704  3 W 2.91-3.07, 2 Mg 3.02, 4 Br 3.09-3.22

=====

The highest uncorrected energy belongs to which entry? number 2